Below is an optimized crystal structure of Cr2H2Rh, with properties calculated at the PBE-GGA level.

## Properties
ρ = 7.7 Mg/m³
V = 45 Å³/f.u.
M_tot = 0.00 μB per formula unit
final energy = -31.9 eV/cell

Cell lengths 4.799, 4.799, 4.799 Å; angles 139.97, 139.97, 57.89 degrees
Element x y z (fractional)
1 Cr 0.250 0.750 0.500
2 Cr 0.750 0.250 0.500
3 H 0.136 0.136 0.000
4 H 0.864 0.864 0.000
5 Rh 0.500 0.500 0.000

***

Below is an optimized crystal structure of KSr2As, with properties calculated at the PBE-GGA level.

## Properties
energy of formation from the pure elements = -0.04 eV/atom
ρ = 3.1 Mg/m³
V = 154 Å³/f.u.
M_tot = 0.00 μB per formula unit
final energy = -9.3 eV/cell

Cell lengths 6.016, 6.016, 6.016 Å; angles 60.00, 60.00, 60.00 degrees
Element x y z (fractional)
1 K 0.000 0.000 0.000
2 Sr 0.500 0.500 0.500
3 Sr 0.750 0.750 0.750
4 As 0.250 0.250 0.250